This record from Alexandria describes an optimized crystal structure of YHoPb2. The functional is GGA-PBE. Values from VASP.

Values from the calculation:
ΔH_f (0 K), meV/atom: -486
E, eV/atom: -5.101
Magnetization, μB/f.u.: 0.000
SG: Pm, No. 6

The structure in Quantum ESPRESSO input format:
```
&SYSTEM
  ibrav = 0, nat = 4, ntyp = 3
/
ATOMIC_SPECIES
Pb 207.20 Pb.upf
Ho 164.93 Ho.upf
Y 88.91 Y.upf
ATOMIC_POSITIONS crystal
Pb 0.9826 0.0000 0.5015
Pb 0.1828 0.5000 0.9072
Ho 0.7113 0.0000 0.9635
Y 0.4544 0.5000 0.4458
CELL_PARAMETERS angstrom
4.2211 0.0000 -1.5343
0.0000 4.4494 0.0000
-0.1142 0.0000 6.2471
```

---

This record from Alexandria describes an optimized crystal structure of Y2HoPb. The functional is GGA-PBE. Values from VASP.

Values from the calculation:
ΔH_f (0 K), meV/atom: -276
E, eV/atom: -5.580
Magnetization, μB/f.u.: 0.529
Energy above the most stable polymorph in this dataset, eV per atom: 0.000
SG: P4/mmm, No. 123

The structure in Quantum ESPRESSO input format:
```
&SYSTEM
  ibrav = 0, nat = 4, ntyp = 3
/
ATOMIC_SPECIES
Ho 164.93 Ho.upf
Pb 207.20 Pb.upf
Y 88.91 Y.upf
ATOMIC_POSITIONS crystal
Ho 0.5000 0.0000 0.0000
Pb 0.5000 0.5000 0.5000
Y 0.0000 0.5000 0.0000
Y 0.0000 0.0000 0.5000
CELL_PARAMETERS angstrom
4.8337 0.0000 0.0000
0.0000 4.8804 0.0000
0.0000 0.0000 4.8804
```

---

This record from Alexandria describes an optimized crystal structure of YHo5Pb5. The functional is GGA-PBE. Values from VASP.

Values from the calculation:
ΔH_f (0 K), meV/atom: -260
E, eV/atom: -4.614
Magnetization, μB/f.u.: 0.002
SG: C2/m, No. 12

The structure in Quantum ESPRESSO input format:
```
&SYSTEM
  ibrav = 0, nat = 11, ntyp = 3
/
ATOMIC_SPECIES
Y 88.91 Y.upf
Ho 164.93 Ho.upf
Pb 207.20 Pb.upf
ATOMIC_POSITIONS crystal
Y 0.0000 0.0000 0.0000
Ho 0.3358 0.6715 0.1665
Ho 0.6589 0.3177 0.3355
Ho 0.6642 0.3285 0.8335
Ho 0.3411 0.6823 0.6645
Ho 0.0000 0.0000 0.5000
Pb 0.1676 0.3351 0.3407
Pb 0.8324 0.6649 0.6593
Pb 0.8311 0.6623 0.1742
Pb 0.1689 0.3377 0.8258
Pb 0.5000 0.0000 0.0000
CELL_PARAMETERS angstrom
-4.4282 1.2674 4.2208
1.3186 -8.3053 -0.7463
5.1756 1.9704 4.8383
```

---

This record from Alexandria describes an optimized crystal structure of Y3HoPb5. The functional is GGA-PBE. Values from VASP.

Values from the calculation:
ΔH_f (0 K), meV/atom: -424
E, eV/atom: -5.148
Magnetization, μB/f.u.: 0.000
SG: P6_3/mcm, No. 193

The structure in Quantum ESPRESSO input format:
```
&SYSTEM
  ibrav = 0, nat = 18, ntyp = 3
/
ATOMIC_SPECIES
Pb 207.20 Pb.upf
Y 88.91 Y.upf
Ho 164.93 Ho.upf
ATOMIC_POSITIONS crystal
Pb 0.2500 0.0000 0.2870
Pb 0.7500 0.2870 0.2870
Pb 0.5000 0.3333 0.6667
Pb 0.0000 0.3333 0.6667
Pb 0.7500 0.0000 0.7130
Pb 0.7500 0.7130 0.0000
Pb 0.2500 0.2870 0.0000
Pb 0.5000 0.6667 0.3333
Pb 0.2500 0.7130 0.7130
Pb 0.0000 0.6667 0.3333
Y 0.2500 0.6184 0.0000
Y 0.7500 0.3816 0.0000
Y 0.7500 0.6184 0.6184
Y 0.2500 0.0000 0.6184
Y 0.2500 0.3816 0.3816
Y 0.7500 0.0000 0.3816
Ho 0.5000 0.0000 0.0000
Ho 0.0000 0.0000 0.0000
CELL_PARAMETERS angstrom
6.5330 0.0000 0.0000
0.0000 8.2789 -4.7798
0.0000 0.0000 9.5596
```

---

This record from Alexandria describes an optimized crystal structure of Y2HoPb3. The functional is GGA-PBE. Values from VASP.

Values from the calculation:
ΔH_f (0 K), meV/atom: -517
E, eV/atom: -5.288
Magnetization, μB/f.u.: 0.000
SG: C2/c, No. 15

The structure in Quantum ESPRESSO input format:
```
&SYSTEM
  ibrav = 0, nat = 12, ntyp = 3
/
ATOMIC_SPECIES
Pb 207.20 Pb.upf
Y 88.91 Y.upf
Ho 164.93 Ho.upf
ATOMIC_POSITIONS crystal
Pb 0.9171 0.7092 0.6677
Pb 0.2500 0.3759 0.0000
Pb 0.5829 0.0414 0.3323
Pb 0.7500 0.6241 0.0000
Pb 0.4171 0.9586 0.6677
Pb 0.0829 0.2908 0.3323
Y 0.4157 0.4588 0.6667
Y 0.5843 0.5412 0.3333
Y 0.9157 0.2079 0.6667
Y 0.0843 0.7921 0.3333
Ho 0.7500 0.1241 0.0000
Ho 0.2500 0.8759 0.0000
CELL_PARAMETERS angstrom
-1.8282 1.6254 5.9204
-3.6030 -5.2784 0.3366
8.7058 -1.9679 1.4916
```

---

This record from Alexandria describes an optimized crystal structure of YHo4Pb5. The functional is GGA-PBE. Values from VASP.

Values from the calculation:
ΔH_f (0 K), meV/atom: -319
E, eV/atom: -4.650
Magnetization, μB/f.u.: 0.000
SG: I4, No. 79

The structure in Quantum ESPRESSO input format:
```
&SYSTEM
  ibrav = 0, nat = 10, ntyp = 3
/
ATOMIC_SPECIES
Ho 164.93 Ho.upf
Pb 207.20 Pb.upf
Y 88.91 Y.upf
ATOMIC_POSITIONS crystal
Ho 0.7998 0.8015 0.5997
Ho 0.6014 0.5997 0.1985
Ho 0.2011 0.1985 0.4003
Ho 0.3995 0.4003 0.8015
Pb 0.1004 0.5983 0.2018
Pb 0.6986 0.2018 0.4017
Pb 0.5036 0.0000 0.0000
Pb 0.9004 0.4017 0.7982
Pb 0.3022 0.7982 0.5983
Y 0.0034 0.0000 0.0000
CELL_PARAMETERS angstrom
6.2764 0.0000 0.0000
3.1382 7.0169 0.0000
3.1382 0.0000 7.0169
```